This record from the Alexandria database describes a relaxed AcScMoO6 crystal. The functional is PBE with a Hubbard U.

Properties
- electronic total energy (eV/cell) = -71.8
- V (Å³ per cell) = 134

a b c (Å): 5.386 5.386 5.316
angles (deg): 90.00 90.00 60.00
Fractional coordinates of all 9 atoms:
Ac1 0.000 0.000 0.000
Sc1 0.667 0.667 0.500
Mo1 0.333 0.333 0.500
O1 0.022 0.362 0.292
O2 0.362 0.022 0.708
O3 0.616 0.362 0.708
O4 0.021 0.616 0.708
O5 0.362 0.616 0.292
O6 0.616 0.021 0.292